## CsSnAuSeS2 (PBE)

Data for a relaxed CsSnAuSeS2 crystal.

The value obtained for the volume is 30.143 A^3/atom. The calculation puts the electronic total energy at -3.79 eV/atom.

abc: 8.990 8.990 10.399
angles: 90.00 90.00 154.51
Fractional positions:
Cs (0.222, 0.778, 0.750)
Cs (0.778, 0.222, 0.250)
Sn (0.500, 0.500, 0.000)
Sn (0.500, 0.500, 0.500)
Au (0.107, 0.893, 0.250)
Au (0.893, 0.107, 0.750)
Se (0.449, 0.551, 0.250)
Se (0.551, 0.449, 0.750)
S (0.104, 0.896, 0.028)
S (0.104, 0.896, 0.472)
S (0.896, 0.104, 0.528)
S (0.896, 0.104, 0.972)